! PBE Y6CoCu5, relaxed; values from VASP
&SYSTEM
  ibrav = 0, nat = 12, ntyp = 3
/
ATOMIC_SPECIES
Y 88.91 Y.upf
Co 58.93 Co.upf
Cu 63.55 Cu.upf
CELL_PARAMETERS angstrom
4.696 0.021 -1.370
-0.955 6.104 -3.179
-0.082 0.431 8.448
ATOMIC_POSITIONS crystal
Y 0.837 0.592 0.674
Y 0.837 0.083 0.674
Y 0.500 0.758 0.000
Y 0.500 0.242 0.000
Y 0.163 0.917 0.326
Y 0.163 0.408 0.326
Co 0.000 0.000 0.000
Cu 0.669 0.169 0.338
Cu 0.334 0.334 0.668
Cu 0.000 0.500 0.000
Cu 0.666 0.666 0.332
Cu 0.331 0.831 0.662
! Fermi-level density of states: 0.767 states/eV per atom
! Symmetry: Immm, No. 71
! Calculated formation energy: -0.2244 eV per atom
! M_tot: 0.0 μB per formula unit

***

! PBE ReNi5Rh8, relaxed; values from VASP
&SYSTEM
  ibrav = 0, nat = 14, ntyp = 3
/
ATOMIC_SPECIES
Re 186.21 Re.upf
Ni 58.69 Ni.upf
Rh 102.91 Rh.upf
CELL_PARAMETERS angstrom
6.331 -0.023 0.039
-2.164 5.950 -0.039
-2.004 -3.020 5.192
ATOMIC_POSITIONS crystal
Re 0.250 0.500 0.750
Ni 0.032 0.320 0.123
Ni 0.877 0.909 0.197
Ni 0.803 0.680 0.712
Ni 0.500 0.000 0.500
Ni 0.288 0.091 0.968
Rh 0.146 0.722 0.069
Rh 0.931 0.077 0.653
Rh 0.755 0.264 0.350
Rh 0.650 0.405 0.914
Rh 0.509 0.595 0.245
Rh 0.576 0.923 0.854
Rh 0.347 0.278 0.424
Rh 0.086 0.736 0.491
! Fermi-level density of states: 1.691 states/eV per atom
! Symmetry: I-4, No. 82
! Calculated formation energy: 0.2728 eV per atom
! M_tot: 5.6 μB per formula unit

***

What E values result from the calculations? In sequence: -69.06; -96.35 eV per cell.